[1]
{
  "formula": "TePtPb",
  "functional": "meta-GGA SCAN",
  "state": "PBEsol geometry",
  "cell": [[-0.047, 3.847, -2.146], [-3.520, -1.267, 2.326], [1.707, 2.100, 3.728]],
  "species": ["Pt", "Pb", "Te"],
  "frac_coords": [[0.333, 0.667, 0.605], [0.000, 0.000, 0.933], [0.667, 0.333, 0.462]],
  "energy_ev_per_atom": -61.401,
  "formation_energy_uncorrected_mev_per_atom": -326
}

=====

[2]
{
  "formula": "SrPAu",
  "functional": "meta-GGA SCAN",
  "state": "PBEsol geometry",
  "cell": [[4.298, 0.000, 0.000], [-2.149, 3.723, 0.000], [0.000, 0.000, 8.402]],
  "species": ["Au", "Au", "P", "P", "Sr", "Sr"],
  "frac_coords": [[0.333, 0.667, 0.750], [0.667, 0.333, 0.250], [0.333, 0.667, 0.250], [0.667, 0.333, 0.750], [0.000, 0.000, 0.500], [0.000, 0.000, 0.000]],
  "energy_ev_per_atom": -35.051,
  "e_form_ev_per_fu": -3.32
}

=====

[3]
{
  "formula": "Ta2AlCd",
  "functional": "meta-GGA SCAN",
  "state": "PBEsol geometry",
  "cell": [[-0.634, 2.787, 0.335], [-3.748, -1.140, 2.389], [2.936, -0.416, 4.408]],
  "species": ["Ta", "Ta", "Cd", "Al"],
  "frac_coords": [[0.781, 0.500, 0.273], [0.964, 0.000, 0.992], [0.376, 0.500, 0.764], [0.378, 0.000, 0.470]],
  "energy_ev_per_atom": -42.807,
  "e_form_ev_per_fu": 0.11
}

=====

[4]
{
  "formula": "MgTiSb3",
  "functional": "meta-GGA SCAN",
  "state": "PBEsol geometry",
  "cell": [[5.224, 0.000, 0.000], [0.000, 5.224, 0.000], [0.000, 0.000, 5.224]],
  "species": ["Sb", "Sb", "Sb", "Mg", "Ti"],
  "frac_coords": [[0.000, 0.000, 0.500], [0.500, 0.000, 0.000], [0.000, 0.500, 0.000], [0.000, 0.000, 0.000], [0.500, 0.500, 0.500]],
  "energy_ev_per_atom": -25.803,
  "formation_energy_uncorrected_mev_per_atom": 755
}

=====

[5]
{
  "formula": "AlW2Au",
  "functional": "meta-GGA SCAN",
  "state": "PBEsol geometry",
  "cell": [[2.735, 0.079, 0.131], [-0.228, 5.035, 0.047], [-0.228, -2.306, 4.476]],
  "species": ["W", "W", "Al", "Au"],
  "frac_coords": [[0.000, 0.500, 0.000], [0.000, 0.000, 0.500], [0.500, 0.000, 0.000], [0.500, 0.500, 0.500]],
  "energy_ev_per_atom": -53.948,
  "e_form_ev_per_fu": 0.49
}

=====

[6]
{
  "formula": "BaSrMg4",
  "functional": "meta-GGA SCAN",
  "state": "PBEsol geometry",
  "cell": [[-3.568, -0.903, -5.297], [0.859, -5.278, -3.606], [-4.514, -4.606, -0.102]],
  "species": ["Sr", "Mg", "Mg", "Mg", "Mg", "Ba"],
  "frac_coords": [[0.750, 0.750, 0.750], [0.875, 0.375, 0.375], [0.375, 0.375, 0.875], [0.375, 0.375, 0.375], [0.375, 0.875, 0.375], [0.000, 0.000, 0.000]],
  "energy_ev_per_atom": -13.705,
  "e_form_ev_per_fu": -0.51
}

=====

[7]
{
  "formula": "K2LiP",
  "functional": "meta-GGA SCAN",
  "state": "PBEsol geometry",
  "cell": [[4.639, 0.000, 0.000], [0.000, 4.639, 0.000], [0.000, 0.000, 4.926]],
  "species": ["P", "K", "K", "Li"],
  "frac_coords": [[0.000, 0.000, 0.500], [0.500, 0.000, 0.000], [0.000, 0.500, 0.000], [0.500, 0.500, 0.500]],
  "energy_ev_per_atom": -7.418,
  "e_form_ev_per_fu": -0.22
}

=====

[8]
{
  "formula": "Ca2CdGa",
  "functional": "meta-GGA SCAN",
  "state": "PBEsol geometry",
  "cell": [[5.210, 0.000, 0.000], [2.605, 4.512, 0.000], [2.605, 1.504, 4.254]],
  "species": ["Cd", "Ga", "Ca", "Ca"],
  "frac_coords": [[0.500, 0.500, 0.500], [0.000, 0.000, 0.000], [0.250, 0.250, 0.250], [0.750, 0.750, 0.750]],
  "energy_ev_per_atom": -16.985,
  "e_form_ev_per_fu": -1.85
}